Density functional theory data (PBE+U) for a relaxed structure of VH6C2ClO3.

Output
Fermi-level density of states ... 0.00 states/eV/f.u.
Electronic total energy ... -143.73 eV for the cell shown
Mass density ... 1.6 g/cm³
Calculated volume ... 13.47 Å³/atom

Structure (CIF):
```
data_VH6C2ClO3
_space_group_name_H-M_alt 'P -1'
_space_group_IT_number 2
_cell_length_a 6.363
_cell_length_b 6.469
_cell_length_c 8.763
_cell_angle_alpha 85.74
_cell_angle_beta 77.78
_cell_angle_gamma 84.12
loop_
_space_group_symop_operation_xyz
'x,y,z'
'-x,-y,-z'
loop_
_atom_site_label
_atom_site_type_symbol
_atom_site_fract_x
_atom_site_fract_y
_atom_site_fract_z
V1 V 0.026 0.010 0.199
H1 H 0.263 0.401 0.940
H2 H 0.263 0.615 0.616
H3 H 0.328 0.846 0.495
H4 H 0.422 0.234 0.055
H5 H 0.434 0.185 0.854
H6 H 0.486 0.275 0.389
C1 C 0.329 0.240 0.962
C2 C 0.343 0.760 0.606
Cl1 Cl 0.082 0.667 0.248
O1 O 0.156 0.110 0.005
O2 O 0.161 0.103 0.310
O3 O 0.245 0.886 0.734
```